[1]
This record from the Alexandria database describes Tb12Pm3Th after structural relaxation. The functional is PBE-GGA.

a = 5.061 Å, b = 5.061 Å, c = 20.233 Å
α = 90.00°, β = 90.00°, γ = 90.00°
Fractional positions:
Tb (0.000, 0.000, 0.000)
Tb (0.000, 0.000, 0.250)
Tb (0.000, 0.000, 0.500)
Tb (0.000, 0.000, 0.750)
Tb (0.000, 0.500, 0.122)
Tb (0.000, 0.500, 0.374)
Tb (0.000, 0.500, 0.626)
Tb (0.000, 0.500, 0.878)
Tb (0.500, 0.000, 0.122)
Tb (0.500, 0.000, 0.374)
Tb (0.500, 0.000, 0.626)
Tb (0.500, 0.000, 0.878)
Pm (0.500, 0.500, 0.249)
Pm (0.500, 0.500, 0.500)
Pm (0.500, 0.500, 0.751)
Th (0.500, 0.500, 0.000)

Calculated formation energy ... 0.021 eV/atom
Symmetry ... P4/mmm, No. 123

***

[2]
This record from the Alexandria database describes Co2HgIrN after structural relaxation. The functional is PBE-GGA.

a = 3.947 Å, b = 3.947 Å, c = 4.071 Å
α = 90.00°, β = 90.00°, γ = 90.00°
Fractional positions:
Co (0.000, 0.500, 0.000)
Co (0.500, 0.000, 0.000)
Hg (0.000, 0.000, 0.500)
Ir (0.500, 0.500, 0.500)
N (0.500, 0.500, 0.000)

Symmetry ... P4/mmm, No. 123

***

[3]
This record from the Alexandria database describes MgCuW2 after structural relaxation. The functional is PBE-GGA.

a = 2.666 Å, b = 4.179 Å, c = 5.728 Å
α = 90.00°, β = 90.00°, γ = 90.00°
Fractional positions:
Mg (0.000, 0.000, 0.000)
Cu (0.500, 0.500, 0.779)
W (0.000, 0.000, 0.509)
W (0.500, 0.500, 0.285)

Calculated formation energy ... 0.415 eV/atom
Symmetry ... Pmm2, No. 25

***

[4]
This record from the Alexandria database describes VBAs2Os after structural relaxation. The functional is PBE-GGA.

a = 4.885 Å, b = 4.885 Å, c = 3.923 Å
α = 90.00°, β = 90.00°, γ = 90.00°
Fractional positions:
V (0.000, 0.000, 0.000)
B (0.500, 0.500, 0.000)
As (0.000, 0.500, 0.500)
As (0.500, 0.000, 0.500)
Os (0.500, 0.500, 0.500)

Calculated formation energy ... 1.145 eV/atom
E above lowest polymorph ... 299 meV per atom
Symmetry ... P4/mmm, No. 123

***

no.,E_tot (eV for the cell shown),mass density (g/cm³)
1,-76.901,8.2
2,-30.110,13.7
3,-29.937,11.9
4,-30.598,7.1